Record 1
# CaCr2Re

An optimized crystal structure of CaCr2Re (GGA-PBE, Alexandria via LeMat-Bulk).

abc: 5.4568 5.2077 2.5921
angles: 79.73 82.25 119.36
Positions (direct):
Cr 0.5000 0.0000 0.5000
Ca 0.5000 0.5000 0.0000
Cr 0.0000 0.0000 0.0000
Re 0.0000 0.5000 0.5000

## Properties
- Spin magnetization: 0.1 Bohr magnetons per cell
- Distance to the lowest polymorph of the same formula: 0.359 eV/atom
- D(E_F): 1.13 states/eV per atom
- Calculated volume: 15.25 Å³/atom
- ΔE_f: 0.8435 eV per atom

Record 2
# Cs3Mg2I7

An optimized crystal structure of Cs3Mg2I7 (GGA-PBE, Alexandria via LeMat-Bulk).

abc: 5.8725 5.9838 15.6538
angles: 101.02 90.00 90.00
Positions (direct):
Cs 0.5000 0.6792 0.3583
I 0.5000 0.0940 0.1881
Mg 0.0000 0.0994 0.1988
I 0.0000 0.4064 0.8127
I 0.0000 0.8075 0.6151
I 0.0000 0.1925 0.3849
I 0.0000 0.0000 0.0000
I 0.0000 0.5936 0.1873
Mg 0.0000 0.9006 0.8012
Cs 0.5000 0.3208 0.6417
I 0.5000 0.9060 0.8119
Cs 0.5000 0.5000 0.0000

## Properties
- Spin magnetization: 0.0 Bohr magnetons per cell
- Distance to the lowest polymorph of the same formula: 0.013 eV/atom
- D(E_F): 0.00 states/eV per atom
- Formation energy from raw total energies: -1.264 eV/atom
- Calculated volume: 44.99 Å³/atom

Record 3
# Rb2In3Hg6

An optimized crystal structure of Rb2In3Hg6 (GGA-PBE, Alexandria via LeMat-Bulk).

abc: 4.8201 8.9170 8.9170
angles: 100.96 90.00 90.00
Positions (direct):
Hg 0.5000 0.0250 0.3451
Hg 0.5000 0.6549 0.9750
Hg 0.5000 0.6288 0.6288
Hg 0.5000 0.3712 0.3712
Rb 0.0000 0.3040 0.6960
In 0.5000 0.0000 0.0000
In 0.0000 0.8260 0.8260
Rb 0.0000 0.6960 0.3040
Hg 0.5000 0.9750 0.6549
In 0.0000 0.1740 0.1740
Hg 0.5000 0.3451 0.0250

## Properties
- Spin magnetization: 0.0 Bohr magnetons per cell
- Distance to the lowest polymorph of the same formula: 0.002 eV/atom
- D(E_F): 0.41 states/eV per atom
- Calculated volume: 34.21 Å³/atom
- ΔE_f: -0.1147 eV per atom

Repeat the third record exactly.
# Rb2In3Hg6

An optimized crystal structure of Rb2In3Hg6 (GGA-PBE, Alexandria via LeMat-Bulk).

abc: 4.8201 8.9170 8.9170
angles: 100.96 90.00 90.00
Positions (direct):
Hg 0.5000 0.0250 0.3451
Hg 0.5000 0.6549 0.9750
Hg 0.5000 0.6288 0.6288
Hg 0.5000 0.3712 0.3712
Rb 0.0000 0.3040 0.6960
In 0.5000 0.0000 0.0000
In 0.0000 0.8260 0.8260
Rb 0.0000 0.6960 0.3040
Hg 0.5000 0.9750 0.6549
In 0.0000 0.1740 0.1740
Hg 0.5000 0.3451 0.0250

## Properties
- Spin magnetization: 0.0 Bohr magnetons per cell
- Distance to the lowest polymorph of the same formula: 0.002 eV/atom
- D(E_F): 0.41 states/eV per atom
- Calculated volume: 34.21 Å³/atom
- ΔE_f: -0.1147 eV per atom